Below is crystalline Ca3RePd at its relaxed geometry, with properties calculated at the PBE-GGA level.

Calculated values
D(E_F) = 3.105 states/eV per cell
Symmetry = Pm-3m, No. 221
Electronic total energy = -3.93 eV per atom
Energy above the most stable polymorph in this dataset = 0.061 eV per atom
Total magnetic moment = 0.74 μB per formula unit

Structure (extended XYZ):
```
5
Lattice="5.366 0.000 0.000 0.000 5.366 0.000 0.000 0.000 5.366" Properties=species:S:1:pos:R:3 pbc="T T T"
Ca 0.000 0.000 2.683
Ca 0.000 2.683 0.000
Ca 2.683 0.000 0.000
Re 0.000 0.000 0.000
Pd 2.683 2.683 2.683
```

=====

Below is crystalline CaRePd2 at its relaxed geometry, with properties calculated at the PBE-GGA level.

Calculated values
D(E_F) = 3.725 states/eV per cell
Symmetry = Fm-3m, No. 225
Electronic total energy = -5.92 eV per atom
Energy above the most stable polymorph in this dataset = 0.000 eV per atom
Total magnetic moment = 2.75 μB per formula unit

Structure (extended XYZ):
```
4
Lattice="0.000 3.303 3.303 3.303 0.000 3.303 3.303 3.303 0.000" Properties=species:S:1:pos:R:3 pbc="T T T"
Ca 0.000 0.000 0.000
Re 3.303 3.303 3.303
Pd 1.651 1.651 1.651
Pd 4.954 4.954 4.954
```

=====

Below is crystalline CaRePd2S at its relaxed geometry, with properties calculated at the PBE-GGA level.

Calculated values
ΔE_f (raw) = 4.4 eV/f.u.
D(E_F) = 5.099 states/eV per cell
Symmetry = P4/mmm, No. 123
Electronic total energy = -4.92 eV per atom
Total magnetic moment = 0.00 μB per formula unit

Structure (extended XYZ):
```
5
Lattice="4.706 0.000 0.000 0.000 4.706 0.000 0.000 0.000 5.843" Properties=species:S:1:pos:R:3 pbc="T T T"
Ca 0.000 0.000 0.000
Re 0.000 0.000 2.921
Pd 0.000 2.353 2.921
Pd 2.353 0.000 2.921
S 2.353 2.353 0.000
```

=====

Below is crystalline CaPd3Rh at its relaxed geometry, with properties calculated at the PBE-GGA level.

Calculated values
D(E_F) = 6.023 states/eV per cell
Symmetry = Pm-3m, No. 221
Electronic total energy = -4.62 eV per atom
Energy above the most stable polymorph in this dataset = 0.000 eV per atom
Total magnetic moment = 1.72 μB per formula unit

Structure (extended XYZ):
```
5
Lattice="4.875 0.000 0.000 0.000 4.875 0.000 0.000 0.000 4.875" Properties=species:S:1:pos:R:3 pbc="T T T"
Ca 0.000 0.000 0.000
Pd 0.000 2.437 2.437
Pd 2.437 0.000 2.437
Pd 2.437 2.437 0.000
Rh 2.437 2.437 2.437
```

=====

Below is crystalline Ca4PdRh at its relaxed geometry, with properties calculated at the PBE-GGA level.

Calculated values
D(E_F) = 4.953 states/eV per cell
Symmetry = C2/c, No. 15
Electronic total energy = -3.90 eV per atom
Total magnetic moment = 0.00 μB per formula unit

Structure (extended XYZ):
```
12
Lattice="4.605 -6.746 0.000 4.605 6.746 0.000 -3.533 0.000 5.362" Properties=species:S:1:pos:R:3 pbc="T T T"
Ca 0.256 4.381 4.862
Ca 0.166 0.803 3.915
Ca 3.656 4.381 3.181
Ca 1.933 -0.803 1.234
Ca 3.745 0.803 4.128
Ca 2.022 -4.381 2.181
Ca 5.511 -0.803 1.447
Ca 5.422 -4.381 0.500
Pd 3.722 1.846 1.340
Pd 1.956 -1.846 4.021
Rh 1.956 6.717 4.021
Rh 3.722 -6.717 1.340
```

=====

Below is crystalline Ca2PdRh at its relaxed geometry, with properties calculated at the PBE-GGA level.

Calculated values
D(E_F) = 3.831 states/eV per cell
Symmetry = Immm, No. 71
Electronic total energy = -3.70 eV per atom
Total magnetic moment = 0.00 μB per formula unit

Structure (extended XYZ):
```
4
Lattice="-1.596 2.768 5.151 1.596 -2.768 5.151 1.596 2.768 -5.151" Properties=species:S:1:pos:R:3 pbc="T T T"
Ca 0.000 0.000 2.523
Ca 0.000 0.000 7.779
Pd 0.000 0.000 5.151
Rh 0.000 0.000 0.000
```

=====

Below is crystalline Ca2PdRh at its relaxed geometry, with properties calculated at the PBE-GGA level.

Calculated values
D(E_F) = 4.529 states/eV per cell
Symmetry = I-42d, No. 122
Electronic total energy = -4.32 eV per atom
Total magnetic moment = 0.00 μB per formula unit

Structure (extended XYZ):
```
8
Lattice="-3.796 3.796 3.073 3.796 -3.796 3.073 3.796 3.796 -3.073" Properties=species:S:1:pos:R:3 pbc="T T T"
Ca 5.694 1.835 -0.768
Ca 1.835 1.898 0.768
Ca -1.898 1.962 2.304
Ca 1.962 1.898 3.841
Pd 3.796 0.000 1.536
Pd 0.000 0.000 3.073
Rh 0.000 0.000 0.000
Rh 0.000 3.796 1.536
```

=====

Below is crystalline Ca3Pd2Rh at its relaxed geometry, with properties calculated at the PBE-GGA level.

Calculated values
D(E_F) = 5.508 states/eV per cell
Symmetry = Cmmm, No. 65
Electronic total energy = -4.50 eV per atom
Total magnetic moment = 0.00 μB per formula unit

Structure (extended XYZ):
```
12
Lattice="2.497 -7.500 0.000 2.497 7.500 0.000 0.000 0.000 6.799" Properties=species:S:1:pos:R:3 pbc="T T T"
Ca 0.000 0.000 1.684
Ca 0.000 0.000 5.115
Ca 2.497 2.533 1.673
Ca 2.497 2.533 5.126
Ca 2.497 -2.533 1.673
Ca 2.497 -2.533 5.126
Pd 2.497 5.022 3.399
Pd 2.497 0.000 0.000
Pd 2.497 0.000 3.399
Pd 2.497 -5.022 3.399
Rh 2.497 5.015 0.000
Rh 2.497 -5.015 0.000
```

=====

Below is crystalline CaPd2Rh2 at its relaxed geometry, with properties calculated at the PBE-GGA level.

Calculated values
D(E_F) = 16.071 states/eV per cell
Symmetry = P4/mbm, No. 127
Electronic total energy = -5.50 eV per atom
Energy above the most stable polymorph in this dataset = 0.032 eV per atom
Total magnetic moment = 0.00 μB per formula unit

Structure (extended XYZ):
```
10
Lattice="7.729 0.000 0.000 0.000 7.729 0.000 0.000 0.000 2.870" Properties=species:S:1:pos:R:3 pbc="T T T"
Ca 0.000 0.000 0.000
Ca 3.865 3.865 0.000
Pd 0.969 2.896 0.000
Pd 2.896 6.760 0.000
Pd 4.833 0.969 0.000
Pd 6.760 4.833 0.000
Rh 1.341 5.205 1.435
Rh 2.524 1.341 1.435
Rh 5.205 6.388 1.435
Rh 6.388 2.524 1.435
```

=====

Below is crystalline Ca5Pd2Rh at its relaxed geometry, with properties calculated at the PBE-GGA level.

Calculated values
D(E_F) = 8.923 states/eV per cell
Symmetry = Pbam, No. 55
Electronic total energy = -3.95 eV per atom
Total magnetic moment = 0.00 μB per formula unit

Structure (extended XYZ):
```
16
Lattice="7.649 0.000 0.000 0.000 12.155 0.000 0.000 0.000 4.489" Properties=species:S:1:pos:R:3 pbc="T T T"
Ca 0.000 0.000 0.000
Ca 1.199 3.581 0.000
Ca 1.374 7.093 2.244
Ca 2.451 1.015 2.244
Ca 2.625 9.658 0.000
Ca 3.825 6.077 0.000
Ca 5.024 2.497 0.000
Ca 5.198 11.139 2.244
Ca 6.275 5.062 2.244
Ca 6.450 8.574 0.000
Pd 0.459 10.171 2.244
Pd 3.365 4.093 2.244
Pd 4.284 8.061 2.244
Pd 7.190 1.984 2.244
Rh 0.000 6.077 0.000
Rh 3.825 0.000 0.000
```

=====

Below is crystalline CaPdRh at its relaxed geometry, with properties calculated at the PBE-GGA level.

Calculated values
D(E_F) = 3.776 states/eV per cell
Symmetry = Imma, No. 74
Electronic total energy = -5.39 eV per atom
Energy above the most stable polymorph in this dataset = 0.000 eV per atom
Total magnetic moment = 0.00 μB per formula unit

Structure (extended XYZ):
```
6
Lattice="-2.676 2.726 3.829 2.676 -2.726 3.829 2.676 2.726 -3.829" Properties=species:S:1:pos:R:3 pbc="T T T"
Ca 0.000 1.363 0.936
Ca 2.676 1.363 2.893
Pd 2.676 0.000 0.000
Pd 0.000 0.000 3.829
Rh 1.338 1.363 -1.914
Rh 1.338 -1.363 1.914
```

=====

Below is crystalline Ca4Pd2Rh at its relaxed geometry, with properties calculated at the PBE-GGA level.

Calculated values
D(E_F) = 2.940 states/eV per cell
Symmetry = R-3m, No. 166
Electronic total energy = -4.19 eV per atom
Total magnetic moment = 0.00 μB per formula unit

Structure (extended XYZ):
```
7
Lattice="2.480 1.432 8.102 -2.480 1.432 8.102 0.000 -2.864 8.102" Properties=species:S:1:pos:R:3 pbc="T T T"
Ca 0.000 0.000 2.981
Ca 0.000 0.000 9.066
Ca 0.000 0.000 15.239
Ca 0.000 0.000 21.324
Pd 0.000 0.000 6.104
Pd 0.000 0.000 18.201
Rh 0.000 0.000 0.000
```